# 1
An optimized crystal structure of CeAsRh3. Source: Alexandria via LeMat-Bulk, functional PBE-GGA.

Unit cell a=6.127 b=6.127 c=6.127 alpha=141.16 beta=141.16 gamma=56.10
Atoms (fractional coordinates):
Ce 0.000 0.000 0.000
As 0.359 0.359 0.000
Rh 0.239 0.739 0.500
Rh 0.576 0.576 0.000
Rh 0.739 0.239 0.500

Calculated values
As for the formation energy: -0.742 eV per atom. Its space-group type is I4mm. For the size of the total moment, the calculation gives 0.12 μB per cell. The mass density is 9.69 g/cm³. For the energy above the most stable polymorph in this dataset, the calculation gives 0 meV per atom. As for the crystal system: tetragonal.

=====

# 2
An optimized crystal structure of Ce2As4Ru3Rh. Source: Alexandria via LeMat-Bulk, functional PBE-GGA.

Unit cell a=4.291 b=4.291 c=9.855 alpha=90.00 beta=90.00 gamma=90.00
Atoms (fractional coordinates):
Ce 0.000 0.500 0.243
Ce 0.500 0.000 0.757
As 0.000 0.000 0.000
As 0.000 0.500 0.635
As 0.500 0.000 0.365
As 0.500 0.500 0.000
Ru 0.000 0.500 0.880
Ru 0.500 0.000 0.120
Ru 0.500 0.500 0.500
Rh 0.000 0.000 0.500

Calculated values
As for the formation energy: -0.769 eV per atom. Its space-group type is P-4m2. For the size of the total moment, the calculation gives 0.56 μB per cell. The mass density is 9.02 g/cm³. As for the crystal system: tetragonal.

=====

# 3
An optimized crystal structure of Ce2As4RuRh3. Source: Alexandria via LeMat-Bulk, functional PBE-GGA.

Unit cell a=4.282 b=4.282 c=9.933 alpha=90.00 beta=90.00 gamma=90.00
Atoms (fractional coordinates):
Ce 0.000 0.500 0.247
Ce 0.500 0.000 0.753
As 0.000 0.000 0.000
As 0.000 0.500 0.634
As 0.500 0.000 0.366
As 0.500 0.500 0.000
Ru 0.000 0.000 0.500
Rh 0.000 0.500 0.878
Rh 0.500 0.000 0.122
Rh 0.500 0.500 0.500

Calculated values
As for the formation energy: -0.893 eV per atom. Its space-group type is P-4m2. For the size of the total moment, the calculation gives 0.51 μB per cell. The mass density is 9.03 g/cm³. As for the crystal system: tetragonal.

=====

# 4
An optimized crystal structure of Ce3As4Ru2Rh2. Source: Alexandria via LeMat-Bulk, functional PBE-GGA.

Unit cell a=4.203 b=4.203 c=14.416 alpha=90.00 beta=90.00 gamma=120.00
Atoms (fractional coordinates):
Ce 0.000 0.000 0.000
Ce 0.000 0.000 0.270
Ce 0.000 0.000 0.730
As 0.333 0.667 0.396
As 0.333 0.667 0.874
As 0.667 0.333 0.126
As 0.667 0.333 0.604
Ru 0.333 0.667 0.566
Ru 0.667 0.333 0.434
Rh 0.333 0.667 0.151
Rh 0.667 0.333 0.849

Calculated values
As for the formation energy: -0.887 eV per atom. Its space-group type is P-3m1. For the size of the total moment, the calculation gives 0.14 μB per cell. The mass density is 8.49 g/cm³. As for the crystal system: trigonal.

=====

# 5
An optimized crystal structure of CeSb2As2Rh7. Source: Alexandria via LeMat-Bulk, functional PBE-GGA.

Unit cell a=3.940 b=3.940 c=14.766 alpha=95.16 beta=95.16 gamma=90.31
Atoms (fractional coordinates):
Ce 0.000 0.000 0.000
Sb 0.146 0.146 0.415
Sb 0.854 0.854 0.585
As 0.416 0.416 0.755
As 0.584 0.584 0.245
Rh 0.051 0.552 0.146
Rh 0.379 0.379 0.586
Rh 0.448 0.949 0.854
Rh 0.500 0.500 0.000
Rh 0.552 0.051 0.146
Rh 0.621 0.621 0.414
Rh 0.949 0.448 0.854

Calculated values
As for the uncorrected formation energy: -0.39 eV/atom. Its space-group type is C2/m. For the size of the total moment, the calculation gives 0.00 μB per cell. The mass density is 9.16 g/cm³. As for the crystal system: monoclinic.

=====

# 6
An optimized crystal structure of Ce2Sb3AsRh4. Source: Alexandria via LeMat-Bulk, functional PBE-GGA.

Unit cell a=4.497 b=4.497 c=10.310 alpha=90.00 beta=90.00 gamma=90.00
Atoms (fractional coordinates):
Ce 0.000 0.500 0.245
Ce 0.500 0.000 0.755
Sb 0.000 0.000 0.000
Sb 0.000 0.500 0.636
Sb 0.500 0.000 0.364
As 0.500 0.500 0.000
Rh 0.000 0.000 0.500
Rh 0.000 0.500 0.884
Rh 0.500 0.000 0.116
Rh 0.500 0.500 0.500

Calculated values
As for the uncorrected formation energy: -0.80 eV/atom. Its space-group type is P-4m2. For the size of the total moment, the calculation gives 1.15 μB per cell. The mass density is 9.02 g/cm³. As for the crystal system: tetragonal.

=====

# 7
An optimized crystal structure of Ce3SbAs2Rh8. Source: Alexandria via LeMat-Bulk, functional PBE-GGA.

Unit cell a=5.541 b=5.541 c=9.623 alpha=90.00 beta=90.00 gamma=120.00
Atoms (fractional coordinates):
Ce 0.000 0.000 0.000
Ce 0.333 0.667 0.571
Ce 0.667 0.333 0.429
Sb 0.000 0.000 0.500
As 0.333 0.667 0.084
As 0.667 0.333 0.916
Rh 0.167 0.334 0.274
Rh 0.167 0.833 0.274
Rh 0.333 0.667 0.826
Rh 0.334 0.167 0.726
Rh 0.666 0.833 0.274
Rh 0.667 0.333 0.174
Rh 0.833 0.167 0.726
Rh 0.833 0.666 0.726

Calculated values
As for the uncorrected formation energy: -0.68 eV/atom. Its space-group type is P-3m1. For the size of the total moment, the calculation gives 0.35 μB per cell. The mass density is 9.84 g/cm³. As for the crystal system: trigonal.

=====

# 8
An optimized crystal structure of CeSbAs2Rh5. Source: Alexandria via LeMat-Bulk, functional PBE-GGA.

Unit cell a=4.069 b=4.069 c=10.764 alpha=90.00 beta=90.00 gamma=90.00
Atoms (fractional coordinates):
Ce 0.000 0.000 0.000
Sb 0.000 0.000 0.500
As 0.500 0.500 0.222
As 0.500 0.500 0.778
Rh 0.000 0.500 0.343
Rh 0.000 0.500 0.657
Rh 0.500 0.000 0.343
Rh 0.500 0.000 0.657
Rh 0.500 0.500 0.000

Calculated values
As for the uncorrected formation energy: -0.56 eV/atom. Its space-group type is P4/mmm. For the size of the total moment, the calculation gives 0.76 μB per cell. The mass density is 8.63 g/cm³. As for the crystal system: tetragonal.

=====

Number 1: final energy -7.269 eV per atom. Number 2: final energy -7.333 eV per atom. Number 3: final energy -7.072 eV per atom. Number 4: final energy -7.220 eV per atom. Number 5: final energy -6.632 eV per atom. Number 6: final energy -6.626 eV per atom. Number 7: final energy -7.109 eV per atom. Number 8: final energy -6.793 eV per atom.